No. 1
## Ca2ScCdC (PBE)

Data for Ca2ScCdC after structural relaxation.

Cell: 5.1331 5.1331 4.5370 Å, 90.00 90.00 90.00°
Fractional coordinates of all 5 atoms:
Ca1 0.5000 0.0000 0.0000
Ca2 0.0000 0.5000 0.0000
Sc1 0.0000 0.0000 0.5000
C1 0.0000 0.0000 0.0000
Cd1 0.5000 0.5000 0.5000

Output
DOS at the Fermi energy, states/eV per atom: 1.198
Energy of formation from the pure elements, meV per atom: -88

---

No. 2
## AlTcNi2 (PBE)

Data for AlTcNi2 after structural relaxation.

Cell: 4.0290 2.5970 4.9718 Å, 74.80 90.00 90.00°
Fractional coordinates of all 4 atoms:
Tc1 0.0000 0.4577 0.4581
Ni1 0.0000 0.2008 0.9753
Ni2 0.5000 0.0523 0.2688
Al1 0.5000 0.7892 0.7978

Output
DOS at the Fermi energy, states/eV per atom: 1.010
Energy of formation from the pure elements, meV per atom: -232

---

No. 3
## SbTe2P (PBE)

Data for SbTe2P after structural relaxation.

Cell: 6.7546 6.7546 6.7546 Å, 143.75 143.75 52.20°
Fractional coordinates of all 4 atoms:
Te1 0.7500 0.2500 0.5000
Te2 0.2500 0.7500 0.5000
Sb1 0.0000 0.0000 0.0000
P1 0.5000 0.5000 0.0000

Output
DOS at the Fermi energy, states/eV per atom: 0.911
Relative energy among the computed polymorphs, eV/f.u.: 1.62
Energy relative to the elements, uncorrected, meV per atom: 564

---

No. 4
## RbH6Pt (PBE)

Data for RbH6Pt after structural relaxation.

Cell: 6.3618 6.3618 4.5435 Å, 45.57 45.57 60.00°
Fractional coordinates of all 8 atoms:
H1 0.9983 0.9983 0.6268
H2 0.0017 0.0017 0.3732
H3 0.6234 0.0017 0.3732
H4 0.0017 0.6234 0.3732
H5 0.9983 0.3766 0.6268
H6 0.3766 0.9983 0.6268
Rb1 0.5000 0.5000 0.5000
Pt1 0.0000 0.0000 0.0000

Output
DOS at the Fermi energy, states/eV per atom: 0.109
Relative energy among the computed polymorphs, eV/f.u.: 0.21